A plane-wave DFT calculation with PBE-GGA was carried out for a relaxed structure of Ce2Ga3Cu4Ag.

POSCAR file:
```
Ce2Ga3Cu4Ag
1.0
4.241 0.000 0.000
0.000 4.241 0.000
0.000 0.000 10.191
Ce Ga Cu Ag
2 3 4 1
direct
0.000 0.500 0.239
0.500 0.000 0.761
0.000 0.500 0.876
0.500 0.000 0.124
0.500 0.500 0.500
0.000 0.000 0.000
0.000 0.500 0.642
0.500 0.000 0.358
0.500 0.500 0.000
0.000 0.000 0.500
```

Computed properties:
Total DFT energy (no corrections): -43.070 eV/f.u.
DFT formation energy: -278 kJ/mol of formula units
Total magnetization: 0.176 μB/atom